Computed, not measured: a relaxed structure of ZnAu2N at the PBE level of DFT.

Calculated values
Size of the total moment, μB per formula unit: 0.75
D(E_F), states/eV/cell: 3.28
Energy above the lowest structure with this stoichiometry, kJ per mole of atoms: 23.9
Theoretical density, g/cm³: 13.41

```
ZnAu2N
1.0
2.114 -3.205 2.067
-1.114 -1.071 4.078
-2.013 -3.787 0.787
Zn Au N
1 2 1
Direct
0.500 0.500 0.500 Zn
0.250 0.250 0.250 Au
0.750 0.750 0.750 Au
0.000 0.000 0.000 N
```